4
Lattice="1.5732 0.9083 9.5891 -1.5732 0.9083 9.5891 0.0000 -1.8166 9.5891" Properties=species:S:1:pos:R:3 comment="PBE ErGe2Ir, optimized geometry" total_energy_ev_per_atom=-5.58 formation_enthalpy_0k_ev_per_atom=0.083 dos_at_fermi_per_ev_atom=1.0702 pbc="T T T"
Er 0.0000 0.0000 0.0000
Ge 0.0000 0.0000 2.9237
Ge 0.0000 0.0000 25.8436
Ir 0.0000 0.0000 14.3836